8
Lattice="4.353 0.000 0.000 0.000 4.353 0.000 0.000 0.000 8.738" Properties=species:S:1:pos:R:3 comment="CaHg2Rh, relaxed, DFT GGA-PBE" formation_energy_ev_per_atom=-0.26 dos_at_fermi_per_ev_cell=3.91 pbc="T T T"
Ca 0.000 0.000 0.000
Ca 2.176 2.176 4.369
Hg 0.000 2.176 2.184
Hg 0.000 2.176 6.553
Hg 2.176 0.000 2.184
Hg 2.176 0.000 6.553
Rh 0.000 0.000 4.369
Rh 2.176 2.176 0.000